# PBE Zr2ZnCl, relaxed
data_Zr2ZnCl
_cell_length_a 9.963
_cell_length_b 9.963
_cell_length_c 9.963
_cell_angle_alpha 19.31
_cell_angle_beta 19.31
_cell_angle_gamma 19.31
_space_group_name_H-M_alt 'P 1'
_space_group_IT_number 1
loop_
_space_group_symop_operation_xyz
'x,y,z'
loop_
_atom_site_label
_atom_site_type_symbol
_atom_site_fract_x
_atom_site_fract_y
_atom_site_fract_z
_atom_site_occupancy
Zn1 Zn 0.738 0.738 0.738 1
Zr1 Zr 0.247 0.247 0.247 1
Cl1 Cl 0.519 0.519 0.519 1
Zr2 Zr 0.997 0.997 0.997 1
# Energy (eV/atom): -5.51
# Energy relative to the lowest polymorph listed for this composition (eV/f.u.): 0.090
# DOS at the Fermi energy (states/eV/f.u.): 5.19
# Symmetry: No. 160
# Formation energy from raw total energies (eV/atom): -0.457
# ρ (Mg/m³): 4.98